Here is a relaxed structure of AlIrPd2Pt from the Alexandria database. Energies are from GGA-PBEsol.

The total energy comes out at -5.703 eV per atom. Its space group is P4/mmm, No. 123.

```
AlIrPd2Pt
1.0
-1.4542 1.2031 3.9148
3.7412 -1.2999 1.7892
1.7045 4.0598 -0.6145
Pd Pt Al Ir
2 1 1 1
direct
0.5000 0.0000 0.0000
0.0000 0.5000 0.0000
0.0000 0.0000 0.5000
0.0000 0.0000 0.0000
0.5000 0.5000 0.5000
```


Here is a relaxed structure of Na2Li2Ca from the Alexandria database. Energies are from GGA-PBEsol.

The total energy comes out at -1.690 eV per atom. Its space group is P4/mbm, No. 127.

```
Na2Li2Ca
1.0
-3.3235 -1.0323 -1.0765
-0.9956 -4.8497 7.7247
-3.6222 7.3418 4.1425
Ca Na Li
2 4 4
direct
0.0000 0.5000 0.5000
0.0000 0.0000 0.0000
0.0000 0.8738 0.6262
0.0000 0.6262 0.1262
0.0000 0.3738 0.8738
0.0000 0.1262 0.3738
0.5000 0.6751 0.8249
0.5000 0.1751 0.6751
0.5000 0.3249 0.1751
0.5000 0.8249 0.3249
```


Here is a relaxed structure of ZrZn4Tc from the Alexandria database. Energies are from GGA-PBEsol.

The total energy comes out at -4.724 eV per atom. Its space group is F-43m, No. 216.

```
ZrZn4Tc
1.0
4.9497 0.0000 0.0000
2.4749 4.2866 0.0000
2.4749 1.4289 4.0414
Zr Zn Tc
1 4 1
direct
0.7500 0.7500 0.7500
0.8777 0.3741 0.3741
0.3741 0.3741 0.3741
0.3741 0.8777 0.3741
0.3741 0.3741 0.8777
0.0000 0.0000 0.0000
```


Here is a relaxed structure of Tc5Os from the Alexandria database. Energies are from GGA-PBEsol.

Its space group is P-62m, No. 189. The calculation puts the energy above the most stable polymorph in this dataset at 0.00 eV/f.u.

```
Tc5Os
1.0
-2.1217 -0.0399 -3.7801
-3.3450 -2.7278 1.9064
-0.4026 4.6980 0.1764
Tc Os
5 1
direct
0.0000 0.6670 0.0000
0.5000 0.6667 0.3333
0.0000 0.3330 0.3330
0.0000 0.0000 0.6670
0.5000 0.3333 0.6667
0.5000 0.0000 0.0000
```


Here is a relaxed structure of KCdAs from the Alexandria database. Energies are from GGA-PBEsol.

The total energy comes out at -2.897 eV per atom. Its space group is P4/nmm, No. 129.

```
KCdAs
1.0
4.5109 0.0000 0.0000
0.0000 4.5109 0.0000
0.0000 0.0000 7.8676
K As Cd
2 2 2
direct
0.0000 0.5000 0.3485
0.5000 0.0000 0.6515
0.5000 0.0000 0.2084
0.0000 0.5000 0.7916
0.5000 0.5000 0.0000
0.0000 0.0000 0.0000
```


Here is a relaxed structure of KW3F from the Alexandria database. Energies are from GGA-PBEsol.

Its space group is Pm-3m, No. 221. The formation energy without anion corrections is 1.91 eV/atom.

```
KW3F
1.0
-1.0608 1.8316 -3.8441
2.5031 -2.9366 -2.0899
-3.4448 -2.6979 -0.3349
K W F
1 3 1
direct
0.5000 0.5000 0.5000
0.5000 0.0000 0.0000
0.0000 0.5000 0.0000
0.0000 0.0000 0.5000
0.0000 0.0000 0.0000
```


Here is a relaxed structure of Zr2HgSe from the Alexandria database. Energies are from GGA-PBEsol.

Its space group is Fm-3m, No. 225. The formation energy without anion corrections is -0.52 eV/atom. The calculation puts the energy above the most stable polymorph in this dataset at 0.26 eV/f.u.

```
Zr2HgSe
1.0
4.8095 0.0000 0.0000
2.4047 4.1651 0.0000
2.4047 1.3884 3.9269
Zr Se Hg
2 1 1
direct
0.2500 0.2500 0.2500
0.7500 0.7500 0.7500
0.5000 0.5000 0.5000
0.0000 0.0000 0.0000
```


Here is a relaxed structure of ZnCo2Au from the Alexandria database. Energies are from GGA-PBEsol.

The total energy comes out at -5.170 eV per atom. Its space group is I-4m2, No. 119.

```
ZnCo2Au
1.0
-3.3686 0.1019 1.6066
1.5663 -0.6696 3.3264
1.2688 3.8499 -1.9218
Co Au Zn
2 1 1
direct
0.7498 0.2498 0.4996
0.0001 0.0001 0.0002
0.2501 0.7501 0.5002
0.5000 0.5000 0.0000
```


Here is a relaxed structure of AuSe2BrO from the Alexandria database. Energies are from GGA-PBEsol.

Its space group is P4/mmm, No. 123. The formation energy without anion corrections is 0.46 eV/atom.

```
AuSe2BrO
1.0
4.0146 0.0000 0.0000
0.0000 4.0146 0.0000
0.0000 0.0000 6.5418
Se O Au Br
2 1 1 1
direct
0.0000 0.5000 0.0000
0.5000 0.0000 0.0000
0.0000 0.0000 0.0000
0.5000 0.5000 0.5000
0.0000 0.0000 0.5000
```


Here is a relaxed structure of SrIn2W from the Alexandria database. Energies are from GGA-PBEsol.

Its space group is Cmmm, No. 65. The calculation puts the energy above the most stable polymorph in this dataset at 0.58 eV/f.u.

```
SrIn2W
1.0
2.9847 0.0000 0.0000
0.0000 5.5832 0.0148
0.0000 -1.9819 5.2197
In W Sr
2 1 1
direct
0.0000 0.0000 0.5000
0.0000 0.5000 0.0000
0.5000 0.0000 0.0000
0.5000 0.5000 0.5000
```


Here is a relaxed structure of AlHgN3 from the Alexandria database. Energies are from GGA-PBEsol.

Its space group is Pm-3m, No. 221. The formation energy without anion corrections is 2.38 eV/atom.

```
AlHgN3
1.0
4.1441 0.0000 0.0000
0.0000 4.1441 0.0000
0.0000 0.0000 4.1441
Al N Hg
1 3 1
direct
0.5000 0.5000 0.5000
0.5000 0.0000 0.0000
0.0000 0.5000 0.0000
0.0000 0.0000 0.5000
0.0000 0.0000 0.0000
```


Here is a relaxed structure of LaSiSe3 from the Alexandria database. Energies are from GGA-PBEsol.

Its space group is Pm-3m, No. 221. The formation energy without anion corrections is -0.92 eV/atom. The calculation puts the energy above the most stable polymorph in this dataset at 0.00 eV/f.u.

```
LaSiSe3
1.0
-1.2282 2.3572 4.0624
-4.1251 1.4663 -2.0980
-2.2457 -3.9826 1.6320
La Se Si
1 3 1
direct
0.5000 0.5000 0.5000
0.5000 0.0000 0.0000
0.0000 0.5000 0.0000
0.0000 0.0000 0.5000
0.0000 0.0000 0.0000
```


Here is a relaxed structure of SrHfCu2C from the Alexandria database. Energies are from GGA-PBEsol.

The total energy comes out at -3.019 eV per atom. Its space group is P4/mmm, No. 123.

```
SrHfCu2C
1.0
4.6009 0.0000 0.0000
0.0000 4.6009 0.0000
0.0000 0.0000 5.6105
Cu C Sr Hf
2 1 1 1
direct
0.5000 0.0000 0.0000
0.0000 0.5000 0.0000
0.5000 0.5000 0.5000
0.0000 0.0000 0.0000
0.0000 0.0000 0.5000
```


Here is a relaxed structure of Mg2CrCu from the Alexandria database. Energies are from GGA-PBEsol.

The total energy comes out at -4.160 eV per atom. Its space group is P4/mmm, No. 123.

```
Mg2CrCu
1.0
-2.2226 -0.8633 3.1273
-2.2709 -2.4543 -2.2915
2.4544 -3.1013 0.8883
Mg Cu Cr
2 1 1
direct
0.0000 0.0000 0.5000
0.0000 0.5000 0.0000
0.5000 0.5000 0.5000
0.5000 0.0000 0.0000
```


Here is a relaxed structure of Li2CuNi from the Alexandria database. Energies are from GGA-PBEsol.

Its space group is Pm, No. 6. The calculation puts the energy above the most stable polymorph in this dataset at 0.07 eV/f.u.

```
Li2CuNi
1.0
-1.2540 -2.0252 0.5241
2.6308 -0.9326 2.6908
-1.8180 3.7514 3.0777
Li Ni Cu
2 1 1
direct
0.9649 0.0000 0.9957
0.7832 0.5000 0.2590
0.5394 0.0000 0.5172
0.2124 0.5000 0.7281
```


Here is a relaxed structure of KTa2Te from the Alexandria database. Energies are from GGA-PBEsol.

Its space group is P4mm, No. 99. The formation energy without anion corrections is 0.32 eV/atom.

```
KTa2Te
1.0
3.4102 0.0000 0.0000
0.0000 3.4102 0.0000
0.0000 0.0000 8.7094
Ta K Te
2 1 1
direct
0.0000 0.0000 0.0838
0.5000 0.5000 0.2435
0.5000 0.5000 0.7402
0.0000 0.0000 0.4326
```


Here is a relaxed structure of Os2RuRh from the Alexandria database. Energies are from GGA-PBEsol.

Its space group is Pmm2, No. 25. The calculation puts the energy above the most stable polymorph in this dataset at 0.00 eV/f.u.

```
Os2RuRh
1.0
2.6803 0.0000 0.0000
0.0000 3.8033 0.0000
0.0000 0.0000 5.3647
Os Ru Rh
2 1 1
direct
0.5000 0.5000 0.2470
0.0000 0.0000 0.9995
0.5000 0.5000 0.7526
0.0000 0.0000 0.5009
```


Here is a relaxed structure of KRe2IrPt from the Alexandria database. Energies are from GGA-PBEsol.

The total energy comes out at -7.055 eV per atom. Its space group is P4/mmm, No. 123.

```
KRe2IrPt
1.0
4.7291 0.0000 0.0000
0.0000 4.7291 0.0000
0.0000 0.0000 5.0956
Re Pt K Ir
2 1 1 1
direct
0.0000 0.5000 0.0000
0.5000 0.0000 0.0000
0.0000 0.0000 0.5000
0.5000 0.5000 0.5000
0.0000 0.0000 0.0000
```


Here is a relaxed structure of BaSi2Au from the Alexandria database. Energies are from GGA-PBEsol.

Its space group is Pm, No. 6. The formation energy without anion corrections is -0.28 eV/atom.

```
BaSi2Au
1.0
3.9161 0.0000 0.0000
0.0000 4.7087 0.0096
0.0000 -0.9706 5.4949
Si Ba Au
2 1 1
direct
0.0000 0.0432 0.2327
0.5000 0.7465 0.1526
0.5000 0.1590 0.7386
0.0000 0.5513 0.3761
```


Here is a relaxed structure of CaNb2TcSn from the Alexandria database. Energies are from GGA-PBEsol.

The total energy comes out at -5.906 eV per atom. Its space group is P4/mmm, No. 123.

```
CaNb2TcSn
1.0
5.0681 0.0000 0.0000
0.0000 5.0681 0.0000
0.0000 0.0000 5.3008
Nb Tc Sn Ca
2 1 1 1
direct
0.5000 0.0000 0.0000
0.0000 0.5000 0.0000
0.5000 0.5000 0.5000
0.0000 0.0000 0.0000
0.0000 0.0000 0.5000
```